[1]
The following is a PBE calculation of a relaxed structure of GdErTmZr, from Alexandria via LeMat-Bulk.

a = 7.7098 Å, b = 7.7098 Å, c = 7.7098 Å
α = 90.00°, β = 90.00°, γ = 90.00°
Space group F-43m (No. 216)
Unique sites:
1 Gd 0.0000 0.0000 0.0000 x4
2 Er 0.2500 0.2500 0.7500 x4
3 Tm 0.2500 0.2500 0.2500 x4
4 Zr 0.0000 0.0000 0.5000 x4

Energy relative to the elements ... 0.1981 eV/atom


[2]
The following is a PBE calculation of a relaxed structure of LiTm4Al12, from Alexandria via LeMat-Bulk.

a = 8.6183 Å, b = 8.6183 Å, c = 8.6183 Å
α = 90.00°, β = 90.00°, γ = 90.00°
Space group Im-3m (No. 229)
Unique sites:
1 Li 0.0000 0.0000 0.0000 x2
2 Tm 0.2500 0.2500 0.2500 x8
3 Al 0.0000 0.0000 0.2946 x12
4 Al 0.0000 0.2500 0.5000 x12

Energy relative to the elements ... -0.3725 eV/atom


[3]
The following is a PBE calculation of a relaxed structure of Li2Cu5Ge2, from Alexandria via LeMat-Bulk.

a = 4.4740 Å, b = 4.5638 Å, c = 6.0560 Å
α = 74.79°, β = 79.08°, γ = 84.03°
Space group P-1 (No. 2)
Unique sites:
1 Li 0.0541 0.2670 0.3841 x2
2 Cu 0.2784 0.3976 0.9387 x2
3 Cu 0.4009 0.9552 0.7177 x2
4 Cu 0.5000 0.5000 0.5000 x1
5 Ge 0.1711 0.8202 0.1622 x2

Energy relative to the elements ... -0.0814 eV/atom


[4]
The following is a PBE calculation of a relaxed structure of Tm2SeN, from Alexandria via LeMat-Bulk.

a = 3.6068 Å, b = 3.6068 Å, c = 19.2025 Å
α = 90.00°, β = 90.00°, γ = 120.00°
Space group R-3m (No. 166, hexagonal axes)
Unique sites:
1 Tm 0.0000 0.0000 0.2324 x6
2 Se 0.0000 0.0000 0.0000 x3
3 N 0.0000 0.0000 0.5000 x3

Energy relative to the elements, uncorrected ... -6.867 eV per formula unit


[5]
The following is a PBE calculation of a relaxed structure of Be3RuCl, from Alexandria via LeMat-Bulk.

a = 3.9760 Å, b = 3.9760 Å, c = 3.9760 Å
α = 90.00°, β = 90.00°, γ = 90.00°
Space group Pm-3m (No. 221)
Unique sites:
1 Be 0.0000 0.0000 0.5000 x3
2 Ru 0.5000 0.5000 0.5000 x1
3 Cl 0.0000 0.0000 0.0000 x1

Energy relative to the elements, uncorrected ... 5.444 eV per formula unit


[6]
The following is a PBE calculation of a relaxed structure of CsTcPt3, from Alexandria via LeMat-Bulk.

a = 5.1621 Å, b = 5.1621 Å, c = 5.1621 Å
α = 90.00°, β = 90.00°, γ = 90.00°
Space group Pm-3m (No. 221)
Unique sites:
1 Cs 0.0000 0.0000 0.0000 x1
2 Tc 0.5000 0.5000 0.5000 x1
3 Pt 0.0000 0.0000 0.5000 x3

Energy relative to the elements ... 2.5714 eV/atom


[7]
The following is a PBE calculation of a relaxed structure of YSc3, from Alexandria via LeMat-Bulk.

a = 3.4074 Å, b = 5.2783 Å, c = 5.8887 Å
α = 90.00°, β = 90.00°, γ = 90.00°
Space group Pmm2 (No. 25)
Unique sites:
1 Y 0.0000 0.0000 0.0000 x1
2 Sc 0.0000 0.5000 0.6592 x1
3 Sc 0.5000 0.0000 0.4965 x1
4 Sc 0.5000 0.5000 0.1714 x1

Energy relative to the elements ... 0.0290 eV/atom


[8]
The following is a PBE calculation of a relaxed structure of SnHg14Br, from Alexandria via LeMat-Bulk.

a = 11.0784 Å, b = 6.7254 Å, c = 12.2178 Å
α = 90.00°, β = 90.00°, γ = 90.00°
Space group Amm2 (No. 38)
Unique sites:
1 Sn 0.0000 0.0000 0.0000 x2
2 Hg 0.0000 0.2293 0.3074 x4
3 Hg 0.2496 0.0000 0.2486 x4
4 Hg 0.2524 0.2488 0.4990 x8
5 Hg 0.2619 0.0000 0.7491 x4
6 Hg 0.5000 0.0000 0.0952 x2
7 Hg 0.5000 0.0000 0.5800 x2
8 Hg 0.5000 0.2481 0.3392 x4
9 Br 0.0000 0.0000 0.5881 x2

Energy relative to the elements, uncorrected ... -0.280 eV per formula unit